(1)
SbMo3CN | PBE | optimized geometry

The structure in POSCAR format:
```
SbMo3CN
1.0
3.2436 0.0000 0.0000
-1.6218 2.8090 0.0000
0.0000 0.0000 17.6797
Sb Mo C N
2 6 2 2
Cartesian
0.0000 0.0000 4.3674 Sb
0.0000 0.0000 13.3124 Sb
0.0000 0.0000 0.0000 Mo
0.0000 0.0000 8.8399 Mo
0.0000 1.8727 2.1492 Mo
0.0000 1.8727 6.5984 Mo
1.6218 0.9363 11.0813 Mo
1.6218 0.9363 15.5305 Mo
0.0000 1.8727 10.1229 C
1.6218 0.9363 7.5568 C
0.0000 1.8727 16.4967 N
1.6218 0.9363 1.1830 N
```

Results
uncorrected energy	-8.9276	eV per atom
theoretical density	8.98	g/cm3
symmetry	P-3m1 (164)
total magnetization	0.001	μB per formula unit


(2)
Sb2Mo8C3N3 | PBE | optimized geometry

The structure in POSCAR format:
```
Sb2Mo8C3N3
1.0
3.1935 0.0000 0.0000
-1.5968 2.7657 0.0000
0.0000 0.0000 22.9018
Sb Mo C N
2 8 3 3
Cartesian
0.0000 1.8438 5.8255 Sb
1.5968 0.9219 17.0764 Sb
0.0000 0.0000 3.4799 Mo
0.0000 0.0000 7.9680 Mo
0.0000 0.0000 14.9338 Mo
0.0000 0.0000 19.4220 Mo
0.0000 1.8438 1.2917 Mo
0.0000 1.8438 10.3929 Mo
1.5968 0.9219 12.5090 Mo
1.5968 0.9219 21.6101 Mo
0.0000 0.0000 0.0000 C
0.0000 1.8438 20.3543 C
1.5968 0.9219 2.5475 C
0.0000 0.0000 11.4509 N
0.0000 1.8438 13.8102 N
1.5968 0.9219 9.0916 N
```

Results
uncorrected energy	-9.1218	eV per atom
theoretical density	8.94	g/cm3
symmetry	P-3m1 (164)
total magnetization	0.382	μB per formula unit


(3)
Sb2Mo4CN | PBE | optimized geometry

The structure in POSCAR format:
```
Sb2Mo4CN
1.0
3.2993 0.0000 0.0000
-1.6497 2.8573 0.0000
0.0000 0.0000 12.7696
Sb Mo C N
2 4 1 1
Cartesian
0.0000 1.9049 3.1729 Sb
1.6497 0.9524 9.5967 Sb
0.0000 1.9049 7.4214 Mo
0.0000 1.9049 11.7901 Mo
1.6497 0.9524 0.9794 Mo
1.6497 0.9524 5.3481 Mo
0.0000 0.0000 6.3848 C
0.0000 0.0000 0.0000 N
```

Results
uncorrected energy	-8.5792	eV per atom
theoretical density	9.01	g/cm3
symmetry	P-3m1 (164)
total magnetization	0.006	μB per formula unit


(4)
Si2Mo8C3N3 | PBE | optimized geometry

The structure in POSCAR format:
```
Si2Mo8C3N3
1.0
3.1069 0.0000 0.0000
-1.5535 2.6907 0.0000
0.0000 0.0000 22.2686
Si Mo C N
2 8 3 3
Cartesian
0.0000 1.7938 5.6242 Si
1.5535 0.8969 16.6444 Si
0.0000 0.0000 3.6415 Mo
0.0000 0.0000 7.4866 Mo
0.0000 0.0000 14.7820 Mo
0.0000 0.0000 18.6271 Mo
0.0000 1.7938 1.3173 Mo
0.0000 1.7938 10.0046 Mo
1.5535 0.8969 12.2640 Mo
1.5535 0.8969 20.9513 Mo
0.0000 0.0000 0.0000 C
0.0000 1.7938 19.7073 C
1.5535 0.8969 2.5613 C
0.0000 0.0000 11.1343 N
0.0000 1.7938 13.5569 N
1.5535 0.8969 8.7117 N
```

Results
uncorrected energy	-9.3707	eV per atom
theoretical density	8.04	g/cm3
symmetry	P-3m1 (164)
total magnetization	0.023	μB per formula unit


(5)
SiMo3CN | PBE | optimized geometry

The structure in POSCAR format:
```
SiMo3CN
1.0
3.0648 0.0000 0.0000
-1.5324 2.6542 0.0000
0.0000 0.0000 17.6658
Si Mo C N
2 6 2 2
Cartesian
0.0000 0.0000 4.4138 Si
0.0000 0.0000 13.2520 Si
0.0000 0.0000 0.0000 Mo
0.0000 0.0000 8.8329 Mo
0.0000 1.7695 2.5261 Mo
0.0000 1.7695 6.3780 Mo
1.5324 0.8847 11.2878 Mo
1.5324 0.8847 15.1396 Mo
0.0000 1.7695 10.1354 C
1.5324 0.8847 7.5304 C
0.0000 1.7695 16.3683 N
1.5324 0.8847 1.2975 N
```

Results
uncorrected energy	-9.2639	eV per atom
theoretical density	7.90	g/cm3
symmetry	P-3m1 (164)
total magnetization	0.003	μB per formula unit


(6)
Sn2Mo8C3N3 | PBE | optimized geometry

The structure in POSCAR format:
```
Sn2Mo8C3N3
1.0
3.2230 0.0000 0.0000
-1.6115 2.7912 0.0000
0.0000 0.0000 22.8099
Sn Mo C N
2 8 3 3
Cartesian
0.0000 1.8608 5.7813 Sn
1.6115 0.9304 17.0286 Sn
0.0000 0.0000 3.4531 Mo
0.0000 0.0000 8.1348 Mo
0.0000 0.0000 14.6751 Mo
0.0000 0.0000 19.3568 Mo
0.0000 1.8608 1.2929 Mo
0.0000 1.8608 10.1494 Mo
1.6115 0.9304 12.6605 Mo
1.6115 0.9304 21.5170 Mo
0.0000 0.0000 0.0000 C
0.0000 1.8608 20.2885 C
1.6115 0.9304 2.5214 C
0.0000 0.0000 11.4050 N
0.0000 1.8608 13.8831 N
1.6115 0.9304 8.9268 N
```

Results
uncorrected energy	-9.1578	eV per atom
theoretical density	8.76	g/cm3
symmetry	P-3m1 (164)
total magnetization	0.031	μB per formula unit


(7)
Sn2Mo4CN | PBE | optimized geometry

The structure in POSCAR format:
```
Sn2Mo4CN
1.0
3.2246 0.0000 0.0000
-1.6123 2.7926 0.0000
0.0000 0.0000 13.2958
Sn Mo C N
2 4 1 1
Cartesian
0.0000 1.8617 3.3017 Sn
1.6123 0.9309 9.9940 Sn
0.0000 1.8617 7.7333 Mo
0.0000 1.8617 12.2773 Mo
1.6123 0.9309 1.0185 Mo
1.6123 0.9309 5.5624 Mo
0.0000 0.0000 6.6479 C
0.0000 0.0000 0.0000 N
```

Results
uncorrected energy	-8.6099	eV per atom
theoretical density	8.98	g/cm3
symmetry	P-3m1 (164)
total magnetization	0.008	μB per formula unit


(8)
SnMo3CN | PBE | optimized geometry

The structure in POSCAR format:
```
SnMo3CN
1.0
3.2062 0.0000 0.0000
-1.6031 2.7767 0.0000
0.0000 0.0000 18.1466
Sn Mo C N
2 6 2 2
Cartesian
0.0000 0.0000 4.4783 Sn
0.0000 0.0000 13.6683 Sn
0.0000 0.0000 0.0000 Mo
0.0000 0.0000 9.0733 Mo
0.0000 1.8511 2.1750 Mo
0.0000 1.8511 6.7880 Mo
1.6031 0.9256 11.3586 Mo
1.6031 0.9256 15.9716 Mo
0.0000 1.8511 10.3603 C
1.6031 0.9256 7.7863 C
0.0000 1.8511 16.9503 N
1.6031 0.9256 1.1963 N
```

Results
uncorrected energy	-8.9560	eV per atom
theoretical density	8.89	g/cm3
symmetry	P-3m1 (164)
total magnetization	0.021	μB per formula unit


(9)
Zn2Mo4CN | PBE | optimized geometry

The structure in POSCAR format:
```
Zn2Mo4CN
1.0
2.9457 0.0000 0.0000
-1.4729 2.5511 0.0000
0.0000 0.0000 13.9794
Zn Mo C N
2 4 1 1
Cartesian
0.0000 1.7007 3.5175 Zn
1.4729 0.8504 10.4619 Zn
0.0000 1.7007 8.2325 Mo
0.0000 1.7007 12.6682 Mo
1.4729 0.8504 1.3111 Mo
1.4729 0.8504 5.7468 Mo
0.0000 0.0000 6.9897 C
0.0000 0.0000 0.0000 N
```

Results
uncorrected energy	-7.9614	eV per atom
theoretical density	8.55	g/cm3
symmetry	P-3m1 (164)
total magnetization	0.005	μB per formula unit


(10)
Nb2Ni3Mo4C3 | PBE | optimized geometry

The structure in POSCAR format:
```
Nb2Ni3Mo4C3
1.0
4.5464 -2.6183 0.0000
4.5464 2.6183 0.0000
-3.1069 0.0000 12.8731
Nb Ni Mo C
4 6 8 6
Cartesian
2.2431 2.1852 7.9526 Nb
2.1895 2.1852 11.3571 Nb
3.7965 -2.1852 1.5160 Nb
3.7430 -2.1852 4.9205 Nb
-0.1505 0.7944 9.6726 Ni
1.4030 -0.7944 3.2361 Ni
3.7697 0.3782 3.2183 Ni
2.2163 -0.3782 9.6548 Ni
4.5830 0.7944 9.6371 Ni
6.1365 -0.7944 3.2005 Ni
2.2438 0.4229 1.1015 Mo
2.2420 0.4706 5.3363 Mo
0.6904 -0.4229 7.5380 Mo
0.6885 -0.4706 11.7729 Mo
5.2975 0.4706 1.1003 Mo
5.2956 0.4229 5.3351 Mo
3.7440 -0.4706 7.5368 Mo
3.7422 -0.4229 11.7717 Mo
0.7198 1.3092 6.4366 C
0.7155 1.3696 12.8710 C
3.7171 1.3696 6.4387 C
2.2732 -1.3092 0.0000 C
2.2689 -1.3696 6.4344 C
5.2705 -1.3696 0.0021 C
```

Results
uncorrected energy	-9.0717	eV per atom
theoretical density	8.47	g/cm3
symmetry	C2/c (15)
total magnetization	0.003	μB per formula unit


(11)
Nb4Ni3Mo2C3 | PBE | optimized geometry

The structure in POSCAR format:
```
Nb4Ni3Mo2C3
1.0
4.6595 -2.6977 0.0000
4.6595 2.6977 0.0000
-3.0707 0.0000 12.6606
Nb Ni Mo C
8 6 4 6
Cartesian
0.7705 0.4406 1.2942 Nb
0.7866 0.4623 5.0351 Nb
-0.7649 -0.4406 7.6245 Nb
-0.7487 -0.4623 11.3654 Nb
6.9970 0.4623 1.2952 Nb
7.0132 0.4406 5.0361 Nb
5.4616 -0.4623 7.6255 Nb
5.4778 -0.4406 11.3664 Nb
3.8918 1.9668 3.1651 Ni
1.0268 0.3158 9.5110 Ni
2.5622 -0.3158 3.1807 Ni
3.6861 0.3158 9.4799 Ni
5.2215 -0.3158 3.1496 Ni
2.3565 -1.9668 9.4954 Ni
3.8654 0.4566 1.0544 Mo
3.9182 0.4566 5.2759 Mo
2.3301 -0.4566 7.3847 Mo
2.3828 -0.4566 11.6062 Mo
2.3297 1.3489 0.0000 C
2.3267 1.3867 6.3268 C
5.4569 1.3867 0.0035 C
0.7944 -1.3489 6.3303 C
0.7913 -1.3867 12.6571 C
3.9216 -1.3867 6.3338 C
```

Results
uncorrected energy	-9.0415	eV per atom
theoretical density	8.09	g/cm3
symmetry	C2/c (15)
total magnetization	0.025	μB per formula unit


(12)
Nb2Mo4C3S3 | PBE | optimized geometry

The structure in POSCAR format:
```
Nb2Mo4C3S3
1.0
4.9276 -2.8159 0.0000
4.9276 2.8159 0.0000
-3.1087 0.0000 11.6180
Nb Mo C S
4 8 6 6
Cartesian
2.6326 2.3872 7.0341 Nb
2.5596 2.3872 10.3929 Nb
4.1870 -2.3872 1.2251 Nb
4.1139 -2.3872 4.5839 Nb
2.3523 0.4177 1.0065 Mo
2.5442 0.5822 4.8127 Mo
0.7980 -0.4177 6.8155 Mo
0.9898 -0.5822 10.6217 Mo
5.7568 0.5822 0.9963 Mo
5.9486 0.4177 4.8025 Mo
4.2024 -0.5822 6.8053 Mo
4.3942 -0.4177 10.6115 Mo
0.9095 1.4079 5.8090 C
4.0520 1.3140 0.0118 C
4.2489 1.3140 5.7972 C
2.4638 -1.4079 0.0000 C
2.4977 -1.3140 5.8208 C
2.6946 -1.3140 11.6061 C
-0.6073 0.5124 8.7131 S
0.9471 -0.5124 2.9041 S
2.5961 0.3981 8.7135 S
4.1505 -0.3981 2.9045 S
5.7995 0.5124 8.7139 S
7.3538 -0.5124 2.9049 S
```

Results
uncorrected energy	-8.9753	eV per atom
theoretical density	7.23	g/cm3
symmetry	C2/c (15)
total magnetization	0.001	μB per formula unit